A relaxed NaLaGa2Cl crystal, computed with PBE-GGA.

a b c (Å): 6.0222 6.0222 5.5270
angles (deg): 90.00 90.00 90.00
Space group P4/mmm (No. 123)
One atom of each set of equivalent atoms:
Na 0.0000 0.0000 0.0000 x1
La 0.5000 0.5000 0.5000 x1
Ga 0.0000 0.5000 0.5000 x2
Cl 0.5000 0.5000 0.0000 x1

Crystal system: tetragonal
Volume in Å³/atom: 40.089
Formation energy from raw total energies in eV/atom: -0.16